Record 1
# GdSiPt2, PBEsol geometry, DFT meta-GGA SCAN
# Formation energy without anion corrections, eV per atom: -1.277
# Size of the total moment, μB per cell: 28.91
data_GdSiPt2
_cell_length_a 5.4835
_cell_length_b 6.8974
_cell_length_c 7.3083
_cell_angle_alpha 90.00
_cell_angle_beta 90.00
_cell_angle_gamma 90.00
_symmetry_space_group_name_H-M 'P 1'
_symmetry_Int_Tables_number 1
loop_
_symmetry_equiv_pos_as_xyz
'x,y,z'
loop_
_atom_site_label
_atom_site_type_symbol
_atom_site_fract_x
_atom_site_fract_y
_atom_site_fract_z
Pt1 Pt 0.4083 0.4485 0.6793
Pt2 Pt 0.9083 0.9485 0.8207
Pt3 Pt 0.4083 0.0515 0.6793
Pt4 Pt 0.5917 0.9485 0.3207
Pt5 Pt 0.5917 0.5515 0.3207
Pt6 Pt 0.0917 0.0515 0.1793
Pt7 Pt 0.0917 0.4485 0.1793
Pt8 Pt 0.9083 0.5515 0.8207
Si1 Si 0.3626 0.2500 0.3795
Si2 Si 0.8626 0.7500 0.1205
Si3 Si 0.6374 0.7500 0.6205
Si4 Si 0.1374 0.2500 0.8795
Gd1 Gd 0.6348 0.2500 0.0269
Gd2 Gd 0.3652 0.7500 0.9731
Gd3 Gd 0.1348 0.7500 0.4731
Gd4 Gd 0.8652 0.2500 0.5269



Record 2
# HfV2Mo, PBEsol geometry, DFT meta-GGA SCAN
# Energy of formation from the pure elements, eV/atom: 0.03
# Size of the total moment, μB per cell: 2.80
data_HfV2Mo
_cell_length_a 4.4221
_cell_length_b 4.4221
_cell_length_c 4.4221
_cell_angle_alpha 60.00
_cell_angle_beta 60.00
_cell_angle_gamma 60.00
_symmetry_space_group_name_H-M 'P 1'
_symmetry_Int_Tables_number 1
loop_
_symmetry_equiv_pos_as_xyz
'x,y,z'
loop_
_atom_site_label
_atom_site_type_symbol
_atom_site_fract_x
_atom_site_fract_y
_atom_site_fract_z
V1 V 0.7500 0.7500 0.7500
V2 V 0.2500 0.2500 0.2500
Mo1 Mo 0.0000 0.0000 0.0000
Hf1 Hf 0.5000 0.5000 0.5000



Record 3
# ScMnBr3, PBEsol geometry, DFT meta-GGA SCAN
# Formation energy without anion corrections, eV per atom: -0.589
# Size of the total moment, μB per cell: 6.54
data_ScMnBr3
_cell_length_a 5.0917
_cell_length_b 5.0917
_cell_length_c 5.0917
_cell_angle_alpha 90.00
_cell_angle_beta 90.00
_cell_angle_gamma 90.00
_symmetry_space_group_name_H-M 'P 1'
_symmetry_Int_Tables_number 1
loop_
_symmetry_equiv_pos_as_xyz
'x,y,z'
loop_
_atom_site_label
_atom_site_type_symbol
_atom_site_fract_x
_atom_site_fract_y
_atom_site_fract_z
Br1 Br 0.0000 0.5000 0.0000
Br2 Br 0.0000 0.0000 0.5000
Br3 Br 0.5000 0.0000 0.0000
Sc1 Sc 0.5000 0.5000 0.5000
Mn1 Mn 0.0000 0.0000 0.0000



Record 4
# Sr3ReTe, PBEsol geometry, DFT meta-GGA SCAN
# Formation energy without anion corrections, eV per atom: 0.230
# Size of the total moment, μB per cell: 0.00
data_Sr3ReTe
_cell_length_a 5.5747
_cell_length_b 5.5747
_cell_length_c 5.5747
_cell_angle_alpha 90.00
_cell_angle_beta 90.00
_cell_angle_gamma 90.00
_symmetry_space_group_name_H-M 'P 1'
_symmetry_Int_Tables_number 1
loop_
_symmetry_equiv_pos_as_xyz
'x,y,z'
loop_
_atom_site_label
_atom_site_type_symbol
_atom_site_fract_x
_atom_site_fract_y
_atom_site_fract_z
Te1 Te 0.5000 0.5000 0.5000
Sr1 Sr 0.0000 0.0000 0.5000
Sr2 Sr 0.0000 0.5000 0.0000
Sr3 Sr 0.5000 0.0000 0.0000
Re1 Re 0.0000 0.0000 0.0000



Record 5
# Pr3Tl, PBEsol geometry, DFT meta-GGA SCAN
# Energy of formation from the pure elements, eV/atom: -0.36
# Size of the total moment, μB per cell: 0.94
data_Pr3Tl
_cell_length_a 4.9236
_cell_length_b 4.9236
_cell_length_c 4.9236
_cell_angle_alpha 90.00
_cell_angle_beta 90.00
_cell_angle_gamma 90.00
_symmetry_space_group_name_H-M 'P 1'
_symmetry_Int_Tables_number 1
loop_
_symmetry_equiv_pos_as_xyz
'x,y,z'
loop_
_atom_site_label
_atom_site_type_symbol
_atom_site_fract_x
_atom_site_fract_y
_atom_site_fract_z
Tl1 Tl 0.0000 0.0000 0.0000
Pr1 Pr 0.5000 0.5000 0.0000
Pr2 Pr 0.0000 0.5000 0.5000
Pr3 Pr 0.5000 0.0000 0.5000



Record 6
# LaMg2Fe, PBEsol geometry, DFT meta-GGA SCAN
# Energy of formation from the pure elements, eV/atom: 0.23
# Size of the total moment, μB per cell: 2.93
data_LaMg2Fe
_cell_length_a 4.9826
_cell_length_b 4.9826
_cell_length_c 4.9826
_cell_angle_alpha 60.00
_cell_angle_beta 60.00
_cell_angle_gamma 60.00
_symmetry_space_group_name_H-M 'P 1'
_symmetry_Int_Tables_number 1
loop_
_symmetry_equiv_pos_as_xyz
'x,y,z'
loop_
_atom_site_label
_atom_site_type_symbol
_atom_site_fract_x
_atom_site_fract_y
_atom_site_fract_z
La1 La 0.2500 0.2500 0.2500
Mg1 Mg 0.0000 0.0000 0.0000
Mg2 Mg 0.7500 0.7500 0.7500
Fe1 Fe 0.5000 0.5000 0.5000



Record 7
# HgP, PBEsol geometry, DFT meta-GGA SCAN
# Energy of formation from the pure elements, eV/atom: 0.05
# Size of the total moment, μB per cell: 0.00
data_HgP
_cell_length_a 3.2300
_cell_length_b 4.1725
_cell_length_c 6.8027
_cell_angle_alpha 90.00
_cell_angle_beta 90.00
_cell_angle_gamma 90.00
_symmetry_space_group_name_H-M 'P 1'
_symmetry_Int_Tables_number 1
loop_
_symmetry_equiv_pos_as_xyz
'x,y,z'
loop_
_atom_site_label
_atom_site_type_symbol
_atom_site_fract_x
_atom_site_fract_y
_atom_site_fract_z
Hg1 Hg 0.2500 0.0000 0.3295
Hg2 Hg 0.7500 0.0000 0.6705
P1 P 0.7500 0.5000 0.8943
P2 P 0.2500 0.5000 0.1057



Record 8
# Tl3AuI, PBEsol geometry, DFT meta-GGA SCAN
# Formation energy without anion corrections, eV per atom: 0.487
# Size of the total moment, μB per cell: 0.00
data_Tl3AuI
_cell_length_a 6.2212
_cell_length_b 6.2212
_cell_length_c 6.2212
_cell_angle_alpha 90.00
_cell_angle_beta 90.00
_cell_angle_gamma 90.00
_symmetry_space_group_name_H-M 'P 1'
_symmetry_Int_Tables_number 1
loop_
_symmetry_equiv_pos_as_xyz
'x,y,z'
loop_
_atom_site_label
_atom_site_type_symbol
_atom_site_fract_x
_atom_site_fract_y
_atom_site_fract_z
I1 I 0.0000 0.0000 0.0000
Au1 Au 0.5000 0.5000 0.5000
Tl1 Tl 0.0000 0.5000 0.0000
Tl2 Tl 0.5000 0.0000 0.0000
Tl3 Tl 0.0000 0.0000 0.5000